# 1
{"formula": "Th6Os4Au", "functional": "PBE-GGA", "state": "optimized geometry", "final_energy_ev_per_cell": -95.63, "dos_ef_per_ev_cell": 8.580, "spacegroup": "Cm (8)", "formation_enthalpy_0k_ev_per_fu": -2.91, "lattice": [[0.049, 2.648, -5.243], [5.744, 1.073, 0.599], [-1.180, -8.896, -1.249]], "species": ["Th", "Th", "Th", "Au", "Th", "Th", "Os", "Os", "Os", "Th", "Os"], "fractional_positions": [[0.934, 0.934, 0.358], [0.498, 0.999, 0.000], [0.067, 0.575, 0.642], [0.999, 0.999, 0.001], [0.427, 0.427, 0.357], [0.999, 0.498, 0.000], [0.885, 0.395, 0.278], [0.605, 0.605, 0.722], [0.395, 0.885, 0.278], [0.575, 0.067, 0.642], [0.115, 0.115, 0.722]]}

=====

# 2
{"formula": "EuZrTl2", "functional": "PBE-GGA", "state": "optimized geometry", "final_energy_ev_per_cell": -23.84, "de_polymorph_ev_per_atom": 0.111, "dos_ef_per_ev_cell": 2.510, "spacegroup": "Fm-3m (225)", "formation_enthalpy_0k_ev_per_fu": -0.29, "lattice": [[-3.222, 3.193, 2.765], [-0.067, -0.244, 5.306], [2.030, 3.984, 2.868]], "species": ["Eu", "Tl", "Tl", "Zr"], "fractional_positions": [[0.000, 0.000, 0.000], [0.250, 0.250, 0.250], [0.750, 0.750, 0.750], [0.500, 0.500, 0.500]]}

=====

# 3
{"formula": "Re2Tc2Ir7", "functional": "PBE-GGA", "state": "optimized geometry", "final_energy_ev_per_cell": -105.08, "dos_ef_per_ev_cell": 8.301, "spacegroup": "C2/m (12)", "formation_enthalpy_0k_ev_per_fu": 2.57, "lattice": [[-2.392, -4.113, -0.398], [3.240, -1.410, 4.970], [-3.513, 2.586, 4.261]], "species": ["Ir", "Ir", "Re", "Re", "Ir", "Ir", "Tc", "Ir", "Ir", "Tc", "Ir"], "fractional_positions": [[0.241, 0.408, 0.048], [0.230, 0.463, 0.463], [0.500, 0.180, 0.820], [0.500, 0.820, 0.180], [0.759, 0.592, 0.952], [0.000, 0.000, 0.000], [0.251, 0.768, 0.768], [0.770, 0.537, 0.537], [0.241, 0.048, 0.408], [0.749, 0.232, 0.232], [0.759, 0.952, 0.592]]}